*A*
Density functional theory data (PBE) for NaAlIn after structural relaxation.

Calculated values
Theoretical density ... 3.9 g cm⁻³
Magnetization ... 0.0 μB/f.u.
Density of states at the Fermi level ... 0.30 states/eV/atom

Lattice parameters (Å, degrees): 3.241 5.010 5.010 120.00 90.00 90.00
Atoms (fractional coordinates):
In 0.166 0.000 0.000
Na 0.667 0.333 0.667
Al 0.167 0.667 0.333

*B*
Density functional theory data (PBE) for NaAlIn after structural relaxation.

Calculated values
Theoretical density ... 3.9 g cm⁻³
Magnetization ... 0.0 μB/f.u.
Density of states at the Fermi level ... 0.20 states/eV/atom

Lattice parameters (Å, degrees): 3.110 3.110 7.603 101.80 101.80 90.00
Atoms (fractional coordinates):
In 0.676 0.676 0.352
Na 0.996 0.996 0.992
Al 0.328 0.328 0.657

The most stable of them is *A*.

*A*
Density functional theory data (PBE) for NdAl2In after structural relaxation.

Calculated values
Theoretical density ... 5.5 g cm⁻³
Magnetization ... 0.0 μB/f.u.
Density of states at the Fermi level ... 0.80 states/eV/atom

Lattice parameters (Å, degrees): 5.112 5.112 5.090 59.86 59.86 60.00
Atoms (fractional coordinates):
Al 0.249 0.249 0.252
Al 0.751 0.751 0.748
In 0.000 0.000 0.000
Nd 0.500 0.500 0.500

*B*
Density functional theory data (PBE) for NdAl2In after structural relaxation.

Calculated values
Theoretical density ... 5.8 g cm⁻³
Magnetization ... 0.0 μB/f.u.
Density of states at the Fermi level ... 0.31 states/eV/atom

Lattice parameters (Å, degrees): 4.404 4.527 4.527 90.00 90.00 90.00
Atoms (fractional coordinates):
In 0.500 0.000 0.000
Al 0.000 0.000 0.500
Al 0.000 0.500 0.000
Nd 0.500 0.500 0.500

The most stable of them is *B*.

*A*
Density functional theory data (PBE) for Nd3Al2In after structural relaxation.

Calculated values
Theoretical density ... 6.2 g cm⁻³
Magnetization ... 0.0 μB/f.u.
Density of states at the Fermi level ... 0.45 states/eV/atom

Lattice parameters (Å, degrees): 5.344 5.344 13.127 90.00 90.00 120.00
Atoms (fractional coordinates):
Al 0.000 0.000 0.000
Al 0.667 0.333 0.832
Al 0.333 0.667 0.168
Al 0.000 0.000 0.500
Nd 0.333 0.667 0.922
Nd 0.000 0.000 0.244
Nd 0.000 0.000 0.756
Nd 0.667 0.333 0.078
Nd 0.333 0.667 0.416
Nd 0.667 0.333 0.584
In 0.333 0.667 0.668
In 0.667 0.333 0.332

*B*
Density functional theory data (PBE) for Nd3Al2In after structural relaxation.

Calculated values
Theoretical density ... 6.2 g cm⁻³
Magnetization ... 0.0 μB/f.u.
Density of states at the Fermi level ... 0.52 states/eV/atom

Lattice parameters (Å, degrees): 3.769 3.769 11.410 90.00 90.00 90.00
Atoms (fractional coordinates):
Nd 0.000 0.000 0.677
Nd 0.000 0.000 0.323
Nd 0.000 0.000 0.000
Al 0.500 0.500 0.839
Al 0.500 0.500 0.161
In 0.500 0.500 0.500

The most stable of them is *B*.

*A*
Density functional theory data (PBE) for Nd4Al3In after structural relaxation.

Calculated values
Theoretical density ... 5.6 g cm⁻³
Magnetization ... 0.0 μB/f.u.
Density of states at the Fermi level ... 1.26 states/eV/atom

Lattice parameters (Å, degrees): 4.581 4.322 11.630 90.00 90.00 90.00
Atoms (fractional coordinates):
Nd 0.500 0.500 0.364
Nd 0.500 0.000 0.640
Nd 0.000 0.500 0.853
Nd 0.000 0.000 0.144
Al 0.500 0.000 0.923
Al 0.000 0.000 0.433
Al 0.000 0.500 0.568
In 0.500 0.500 0.074

*B*
Density functional theory data (PBE) for Nd4Al3In after structural relaxation.

Calculated values
Theoretical density ... 6.0 g cm⁻³
Magnetization ... 0.0 μB/f.u.
Density of states at the Fermi level ... 0.35 states/eV/atom

Lattice parameters (Å, degrees): 5.330 5.330 9.232 73.22 73.22 60.00
Atoms (fractional coordinates):
Al 0.500 0.500 0.500
Al 0.251 0.251 0.246
Al 0.749 0.749 0.754
Nd 0.377 0.377 0.868
Nd 0.623 0.623 0.132
Nd 0.873 0.873 0.382
Nd 0.127 0.127 0.618
In 0.000 0.000 0.000

The most stable of them is *B*.

*A*
Density functional theory data (PBE) for Nd3AlIn after structural relaxation.

Calculated values
Theoretical density ... 6.5 g cm⁻³
Magnetization ... 0.0 μB/f.u.
Density of states at the Fermi level ... 0.70 states/eV/atom

Lattice parameters (Å, degrees): 5.049 5.049 11.772 90.00 77.62 90.00
Atoms (fractional coordinates):
Nd 0.074 0.750 0.500
Nd 0.261 0.750 0.126
Nd 0.387 0.250 0.874
Nd 0.574 0.250 0.500
Nd 0.761 0.250 0.127
Nd 0.888 0.750 0.873
Al 0.669 0.750 0.311
Al 0.980 0.250 0.689
In 0.480 0.750 0.688
In 0.168 0.250 0.312

*B*
Density functional theory data (PBE) for Nd3AlIn after structural relaxation.

Calculated values
Theoretical density ... 6.0 g cm⁻³
Magnetization ... 0.0 μB/f.u.
Density of states at the Fermi level ... 0.81 states/eV/atom

Lattice parameters (Å, degrees): 5.262 8.346 8.346 119.98 90.00 90.00
Atoms (fractional coordinates):
Nd 0.250 0.383 0.192
Nd 0.250 0.809 0.191
Nd 0.250 0.808 0.617
Nd 0.750 0.191 0.809
Nd 0.750 0.192 0.383
Nd 0.750 0.617 0.808
In 0.250 0.333 0.667
In 0.750 0.667 0.333
Al 0.000 0.000 0.000
Al 0.500 0.000 0.000

The most stable of them is *A*.

*A*
Density functional theory data (PBE) for Nd6Al2In after structural relaxation.

Calculated values
Theoretical density ... 6.3 g cm⁻³
Magnetization ... 0.0 μB/f.u.
Density of states at the Fermi level ... 1.15 states/eV/atom

Lattice parameters (Å, degrees): 5.920 9.218 10.056 90.00 83.32 90.00
Atoms (fractional coordinates):
In 0.000 0.000 0.500
In 0.500 0.500 0.000
Nd 0.074 0.016 0.806
Nd 0.065 0.341 0.419
Nd 0.426 0.516 0.694
Nd 0.468 0.828 0.440
Nd 0.435 0.841 0.081
Nd 0.926 0.984 0.194
Nd 0.935 0.659 0.581
Nd 0.032 0.328 0.060
Nd 0.574 0.484 0.306
Nd 0.968 0.672 0.940
Nd 0.532 0.172 0.560
Nd 0.565 0.159 0.919
Al 0.432 0.145 0.246
Al 0.568 0.855 0.754
Al 0.068 0.645 0.254
Al 0.932 0.355 0.746

*B*
Density functional theory data (PBE) for Nd6Al2In after structural relaxation.

Calculated values
Theoretical density ... 6.1 g cm⁻³
Magnetization ... 0.0 μB/f.u.
Density of states at the Fermi level ... 1.07 states/eV/atom

Lattice parameters (Å, degrees): 8.999 8.999 8.999 105.19 111.94 111.36
Atoms (fractional coordinates):
Nd 0.713 0.034 0.321
Nd 0.203 0.244 0.446
Nd 0.287 0.966 0.679
Nd 0.797 0.244 0.041
Nd 0.539 0.724 0.815
Nd 0.203 0.756 0.959
Nd 0.461 0.276 0.185
Nd 0.713 0.392 0.679
Nd 0.287 0.608 0.321
Nd 0.909 0.724 0.185
Nd 0.797 0.756 0.554
Nd 0.091 0.276 0.815
Al 0.500 0.620 0.120
Al 0.363 0.000 0.363
Al 0.500 0.380 0.880
Al 0.637 0.000 0.637
In 0.000 0.000 0.000
In 0.000 0.500 0.500

The most stable of them is *B*.

*A*
Density functional theory data (PBE) for Nd8Al2In after structural relaxation.

Calculated values
Theoretical density ... 6.6 g cm⁻³
Magnetization ... 0.0 μB/f.u.
Density of states at the Fermi level ... 1.05 states/eV/atom

Lattice parameters (Å, degrees): 5.041 8.230 9.021 110.71 106.22 90.00
Atoms (fractional coordinates):
Nd 0.054 0.731 0.108
Nd 0.606 0.458 0.211
Nd 0.849 0.778 0.697
Nd 0.151 0.222 0.303
Nd 0.680 0.944 0.360
Nd 0.320 0.056 0.640
Nd 0.946 0.269 0.892
Nd 0.394 0.542 0.789
In 0.500 0.000 0.000
Al 0.221 0.653 0.442
Al 0.779 0.347 0.558

*B*
Density functional theory data (PBE) for Nd8Al2In after structural relaxation.

Calculated values
Theoretical density ... 6.5 g cm⁻³
Magnetization ... 0.0 μB/f.u.
Density of states at the Fermi level ... 1.14 states/eV/atom

Lattice parameters (Å, degrees): 5.133 8.682 9.104 118.48 106.37 90.00
Atoms (fractional coordinates):
Nd 0.145 0.145 0.290
Nd 0.000 0.315 0.000
Nd 0.661 0.881 0.322
Nd 0.855 0.855 0.710
Nd 0.339 0.119 0.678
Nd 0.000 0.685 0.000
Nd 0.339 0.559 0.678
Nd 0.661 0.441 0.322
In 0.500 0.000 0.000
Al 0.193 0.693 0.385
Al 0.807 0.307 0.615

The most stable of them is *A*.

*A*
Density functional theory data (PBE) for Nd4Al2In after structural relaxation.

Calculated values
Theoretical density ... 6.0 g cm⁻³
Magnetization ... 0.0 μB/f.u.
Density of states at the Fermi level ... 1.07 states/eV/atom

Lattice parameters (Å, degrees): 5.282 5.282 9.063 73.06 73.06 60.00
Atoms (fractional coordinates):
Nd 0.616 0.616 0.151
Nd 0.131 0.131 0.607
Nd 0.869 0.869 0.393
Nd 0.384 0.384 0.849
Al 0.253 0.253 0.241
Al 0.747 0.747 0.759
In 0.000 0.000 0.000

*B*
Density functional theory data (PBE) for Nd4Al2In after structural relaxation.

Calculated values
Theoretical density ... 5.9 g cm⁻³
Magnetization ... 0.0 μB/f.u.
Density of states at the Fermi level ... 1.11 states/eV/atom

Lattice parameters (Å, degrees): 7.541 6.590 9.512 90.00 117.91 90.00
Atoms (fractional coordinates):
Al 0.526 0.750 0.507
Al 0.212 0.250 0.940
Al 0.788 0.750 0.060
Al 0.474 0.250 0.493
Nd 0.441 0.507 0.777
Nd 0.030 0.250 0.193
Nd 0.970 0.750 0.807
Nd 0.961 0.250 0.559
Nd 0.559 0.007 0.223
Nd 0.441 0.993 0.777
Nd 0.039 0.750 0.441
Nd 0.559 0.493 0.223
In 0.194 0.750 0.183
In 0.806 0.250 0.817

The most stable of them is *A*.

*A*
Density functional theory data (PBE) for TbNdAlIn after structural relaxation.

Calculated values
Theoretical density ... 7.0 g cm⁻³
Magnetization ... 0.0 μB/f.u.
Density of states at the Fermi level ... 0.53 states/eV/atom

Lattice parameters (Å, degrees): 3.736 3.736 7.569 90.00 90.00 90.00
Atoms (fractional coordinates):
Nd 0.500 0.500 0.117
Tb 0.500 0.500 0.597
In 0.000 0.000 0.845
Al 0.000 0.000 0.368

*B*
Density functional theory data (PBE) for TbNdAlIn after structural relaxation.

Calculated values
Theoretical density ... 7.0 g cm⁻³
Magnetization ... 0.0 μB/f.u.
Density of states at the Fermi level ... 0.32 states/eV/atom

Lattice parameters (Å, degrees): 5.309 5.309 5.309 60.00 60.00 60.00
Atoms (fractional coordinates):
Tb 0.000 0.000 0.000
Nd 0.500 0.500 0.500
In 0.250 0.250 0.250
Al 0.750 0.750 0.750

The most stable of them is *A*.

*A*
Density functional theory data (PBE) for NdTmAlIn after structural relaxation.

Calculated values
Theoretical density ... 7.3 g cm⁻³
Magnetization ... 0.0 μB/f.u.
Density of states at the Fermi level ... 0.34 states/eV/atom

Lattice parameters (Å, degrees): 5.271 5.271 5.271 60.00 60.00 60.00
Atoms (fractional coordinates):
Tm 0.000 0.000 0.000
Nd 0.500 0.500 0.500
In 0.250 0.250 0.250
Al 0.750 0.750 0.750

*B*
Density functional theory data (PBE) for NdTmAlIn after structural relaxation.

Calculated values
Theoretical density ... 7.3 g cm⁻³
Magnetization ... 0.0 μB/f.u.
Density of states at the Fermi level ... 0.56 states/eV/atom

Lattice parameters (Å, degrees): 3.698 3.698 7.537 90.00 90.00 90.00
Atoms (fractional coordinates):
Al 0.000 0.000 0.374
Tm 0.500 0.500 0.596
Nd 0.500 0.500 0.118
In 0.000 0.000 0.839

The most stable of them is *B*.

*A*
Density functional theory data (PBE) for AlInNi6 after structural relaxation.

Calculated values
Theoretical density ... 8.4 g cm⁻³
Magnetization ... 1.4 μB/f.u.
Density of states at the Fermi level ... 1.03 states/eV/atom

Lattice parameters (Å, degrees): 6.333 6.333 10.362 90.00 90.00 109.66
Each line ends with the local moment (μB).
Atoms (fractional coordinates):
Ni 0.116 0.370 0.370  0.28
Ni 0.883 0.637 0.881  0.22
Ni 0.883 0.637 0.619  0.22
Ni 0.755 0.245 0.491  0.27
Ni 0.500 0.500 0.250  0.22
Ni 0.116 0.370 0.130  0.28
Ni 0.363 0.117 0.881  0.22
Ni 0.755 0.245 0.009  0.27
Ni 0.884 0.630 0.130  0.28
Ni 0.630 0.884 0.130  0.28
Ni 0.884 0.630 0.370  0.28
Ni 0.630 0.884 0.370  0.28
Ni 0.637 0.883 0.619  0.22
Ni 0.363 0.117 0.619  0.22
Ni 0.370 0.116 0.130  0.28
Ni 0.000 0.000 0.750  0.32
Ni 0.117 0.363 0.619  0.22
Ni 0.245 0.755 0.491  0.27
Ni 0.117 0.363 0.881  0.22
Ni 0.500 0.500 0.750  0.18
Ni 0.245 0.755 0.009  0.27
Ni 0.000 0.000 0.250  0.33
Ni 0.370 0.116 0.370  0.28
Ni 0.637 0.883 0.881  0.22
In 0.500 0.500 0.002  -0.02
In 0.255 0.745 0.750  -0.02
In 0.500 0.500 0.498  -0.02
In 0.745 0.255 0.750  -0.02
Al 0.254 0.746 0.250  -0.01
Al 0.746 0.254 0.250  -0.01
Al 0.000 0.000 0.004  -0.01
Al 0.000 0.000 0.496  -0.01

*B*
Density functional theory data (PBE) for AlInNi6 after structural relaxation.

Calculated values
Theoretical density ... 8.4 g cm⁻³
Magnetization ... 1.5 μB/f.u.
Density of states at the Fermi level ... 1.01 states/eV/atom

Lattice parameters (Å, degrees): 3.666 3.666 7.270 90.00 90.00 90.00
Each line ends with the local moment (μB).
Atoms (fractional coordinates):
Ni 0.500 0.000 0.266  0.27
Ni 0.500 0.000 0.734  0.27
Ni 0.000 0.500 0.734  0.27
Ni 0.500 0.500 0.500  0.36
Ni 0.000 0.500 0.266  0.27
Ni 0.500 0.500 0.000  0.18
Al 0.000 0.000 0.500  -0.01
In 0.000 0.000 0.000  -0.02

The most stable of them is *B*.